{
  "formula": "Ba2YVO6",
  "functional": "PBE with a Hubbard U",
  "state": "optimized geometry",
  "total_energy_ev_per_cell": -73.3,
  "total_magnetization_mub_per_cell": 0.00,
  "space_group": "P-3m1",
  "lattice_angstrom": [[5.680, 0.000, 0.000], [0.000, 5.977, 0.000], [0.000, -2.989, 5.176]],
  "species": ["O", "O", "O", "V", "Y", "Ba", "O", "Ba", "O", "O"],
  "frac_coords": [[0.204, 0.852, 0.148], [0.796, 0.148, 0.297], [0.796, 0.703, 0.852], [0.000, 0.000, 0.000], [0.500, 0.000, 0.000], [0.862, 0.667, 0.333], [0.796, 0.148, 0.852], [0.138, 0.333, 0.667], [0.204, 0.852, 0.703], [0.204, 0.297, 0.148]]
}